No. 1
Density functional theory data (GGA-PBE) for an optimized crystal structure of Pu2CoIr.

Results
- DOS at the Fermi energy (states/eV per cell) = 14.09
- E above lowest polymorph (meV/atom) = 0
- E (eV per atom) = -11.35
- energy relative to the elements (kJ/mol of formula units) = -76

Geometry as POSCAR:
```
Pu2CoIr
1.0
-1.209 -3.205 -3.340
3.136 -3.354 -1.343
-0.717 -4.571 1.219
Ir Co Pu
1 1 2
direct
0.500 0.500 0.500
0.000 0.000 0.000
0.250 0.250 0.250
0.750 0.750 0.750
```

***

No. 2
Density functional theory data (GGA-PBE) for an optimized crystal structure of PuCoIr.

Results
- DOS at the Fermi energy (states/eV per cell) = 16.38
- E (eV per atom) = -10.50
- energy relative to the elements (kJ/mol of formula units) = -117

Geometry as POSCAR:
```
PuCoIr
1.0
-4.687 0.118 1.909
-2.130 -4.399 1.754
-0.656 -0.468 5.130
Pu Co Ir
2 2 2
direct
0.876 0.374 0.374
0.124 0.626 0.626
0.000 0.000 0.000
0.500 0.000 0.000
0.500 0.500 0.000
0.500 0.000 0.500
```

***

No. 3
Density functional theory data (GGA-PBE) for an optimized crystal structure of PuCoIr.

Results
- DOS at the Fermi energy (states/eV per cell) = 15.53
- E (eV per atom) = -10.32
- energy relative to the elements (kJ/mol of formula units) = -63

Geometry as POSCAR:
```
PuCoIr
1.0
4.111 0.000 0.000
0.000 4.111 0.000
-2.055 -2.055 5.994
Co Ir Pu
2 2 2
direct
0.131 0.131 0.263
0.869 0.869 0.737
0.000 0.500 0.000
0.500 0.000 0.000
0.670 0.670 0.340
0.330 0.330 0.660
```

***

No. 4
Density functional theory data (GGA-PBE) for an optimized crystal structure of Pu2CoIr.

Results
- DOS at the Fermi energy (states/eV per cell) = 23.44
- E above lowest polymorph (meV/atom) = 19
- E (eV per atom) = -11.34
- energy relative to the elements (kJ/mol of formula units) = -69

Geometry as POSCAR:
```
Pu2CoIr
1.0
5.730 0.000 1.724
2.785 5.039 1.128
1.411 -0.293 5.692
Pu Co Ir
4 2 2
direct
0.226 0.226 0.273
0.774 0.774 0.727
0.275 0.726 0.773
0.725 0.274 0.227
0.751 0.250 0.750
0.249 0.750 0.250
0.750 0.750 0.250
0.250 0.250 0.750
```

***

No. 5
Density functional theory data (GGA-PBE) for an optimized crystal structure of Pu2Co3Ir.

Results
- DOS at the Fermi energy (states/eV per cell) = 15.84
- E (eV per atom) = -10.09
- energy relative to the elements (kJ/mol of formula units) = -166

Geometry as POSCAR:
```
Pu2Co3Ir
1.0
4.483 -0.128 -2.342
-2.851 4.173 -0.227
-0.147 0.176 5.173
Pu Co Ir
2 3 1
direct
0.752 0.376 0.128
0.248 0.624 0.872
0.500 0.500 0.500
0.000 0.000 0.500
0.500 0.000 0.500
0.000 0.000 0.000
```

***

No. 6
Density functional theory data (GGA-PBE) for an optimized crystal structure of Pu2CoSi6Ir.

Results
- DOS at the Fermi energy (states/eV per cell) = 20.78
- E (eV per atom) = -8.12
- raw formation energy (eV/atom) = -0.401

Geometry as POSCAR:
```
Pu2CoSi6Ir
1.0
5.793 0.000 0.000
2.896 5.017 0.000
2.896 1.672 11.973
Pu Co Si Ir
4 2 12 2
direct
0.875 0.875 0.375
0.125 0.125 0.625
0.720 0.720 0.839
0.280 0.280 0.161
0.000 0.000 0.000
0.500 0.500 0.500
0.929 0.339 0.394
0.339 0.929 0.394
0.339 0.339 0.394
0.071 0.661 0.606
0.661 0.071 0.606
0.661 0.661 0.606
0.775 0.189 0.848
0.189 0.775 0.848
0.189 0.189 0.848
0.225 0.811 0.152
0.811 0.225 0.152
0.811 0.811 0.152
0.577 0.577 0.268
0.423 0.423 0.732
```

***

No. 7
Density functional theory data (GGA-PBE) for an optimized crystal structure of PuCoSi3Ir.

Results
- DOS at the Fermi energy (states/eV per cell) = 22.19
- E (eV per atom) = -8.11
- raw formation energy (eV/atom) = -0.352

Geometry as POSCAR:
```
PuCoSi3Ir
1.0
5.400 0.000 0.000
0.000 7.116 0.000
0.000 -3.558 5.652
Pu Co Si Ir
2 2 6 2
direct
0.750 0.260 0.520
0.250 0.740 0.480
0.250 0.047 0.093
0.750 0.953 0.907
0.250 0.229 0.459
0.000 0.242 0.000
0.500 0.758 0.000
0.500 0.242 0.000
0.000 0.758 0.000
0.750 0.771 0.541
0.250 0.427 0.854
0.750 0.573 0.146
```

***

No. 8
Density functional theory data (GGA-PBE) for an optimized crystal structure of SmPuCoIr.

Results
- DOS at the Fermi energy (states/eV per cell) = 7.99
- E (eV per atom) = -9.01
- energy relative to the elements (kJ/mol of formula units) = -97

Geometry as POSCAR:
```
SmPuCoIr
1.0
4.851 0.000 0.000
2.425 4.201 0.000
2.425 1.400 3.961
Ir Co Sm Pu
1 1 1 1
direct
0.000 0.000 0.000
0.500 0.500 0.500
0.250 0.250 0.250
0.750 0.750 0.750
```

***

No. 9
Density functional theory data (GGA-PBE) for an optimized crystal structure of TmPuCoIr.

Results
- DOS at the Fermi energy (states/eV per cell) = 7.52
- E (eV per atom) = -9.07
- energy relative to the elements (kJ/mol of formula units) = -147

Geometry as POSCAR:
```
TmPuCoIr
1.0
4.761 0.000 0.000
2.381 4.123 0.000
2.381 1.374 3.888
Co Ir Tm Pu
1 1 1 1
direct
0.500 0.500 0.500
0.000 0.000 0.000
0.750 0.750 0.750
0.250 0.250 0.250
```

***

No. 10
Density functional theory data (GGA-PBE) for an optimized crystal structure of YPuCoIr.

Results
- DOS at the Fermi energy (states/eV per cell) = 7.83
- E (eV per atom) = -9.51
- energy relative to the elements (kJ/mol of formula units) = -123

Geometry as POSCAR:
```
YPuCoIr
1.0
-4.061 -0.044 -2.567
-2.217 -4.162 -0.917
-4.182 -1.015 2.136
Y Ir Co Pu
1 1 1 1
direct
0.250 0.250 0.250
0.000 0.000 0.000
0.500 0.500 0.500
0.750 0.750 0.750
```

***

No. 11
Density functional theory data (GGA-PBE) for an optimized crystal structure of RbCoIr2.

Results
- DOS at the Fermi energy (states/eV per cell) = 5.29
- E above lowest polymorph (meV/atom) = 593
- E (eV per atom) = -4.83
- energy relative to the elements (kJ/mol of formula units) = 625

Geometry as POSCAR:
```
RbCoIr2
1.0
0.000 3.272 3.272
3.272 0.000 3.272
3.272 3.272 0.000
Ir Co Rb
2 1 1
direct
0.250 0.250 0.250
0.750 0.750 0.750
0.000 0.000 0.000
0.500 0.500 0.500
```

***

No. 12
Density functional theory data (GGA-PBE) for an optimized crystal structure of RbCoIr2.

Results
- DOS at the Fermi energy (states/eV per cell) = 11.89
- E above lowest polymorph (meV/atom) = 0
- E (eV per atom) = -5.42
- energy relative to the elements (kJ/mol of formula units) = 397

Geometry as POSCAR:
```
RbCoIr2
1.0
5.024 0.000 0.000
0.000 5.024 0.000
2.512 2.512 8.165
Ir Co Rb
4 2 2
direct
0.375 0.125 0.250
0.375 0.625 0.250
0.375 0.625 0.750
0.875 0.625 0.750
0.500 0.500 0.000
0.250 0.750 0.500
0.000 0.000 0.000
0.750 0.250 0.500
```

***

- The highest DOS at the Fermi energy belongs to which entry?
  number 4

***

- Among the records above, which one has the highest DOS at the Fermi energy?
  number 4

***

- E of number 2 (PuCoIr)?
  -10.50 eV per atom